Entry 1:
An optimized crystal structure of Pa4As5O, computed with PBE.

Unit cell a=3.9110 b=7.1436 c=17.4446 alpha=90.00 beta=90.00 gamma=90.00
Closest atoms and distances in Å follow each position.
Space group Immm (No. 71)
Asymmetric unit:
Pa 0.0000 0.0000 0.2043 (multiplicity 4)  6 As 2.84-2.86
Pa 0.0000 0.2893 0.5000 (multiplicity 4)  2 O 2.47
As 0.0000 0.2269 0.3377 (multiplicity 8)  4 Pa 2.84-2.87
As 0.0000 0.5000 0.0000 (multiplicity 2)  4 Pa 2.85
O 0.0000 0.0000 0.0000 (multiplicity 2)  4 Pa 2.47

## Properties
**Energy relative to the elements, uncorrected**: -9.6 eV per formula unit

---

Entry 2:
An optimized crystal structure of NdFeGe, computed with PBE.

Unit cell a=6.6485 b=6.6485 c=6.2405 alpha=90.00 beta=90.00 gamma=90.00
Closest atoms and distances in Å follow each position.
Space group P4_12_12 (No. 92)
Asymmetric unit:
Nd 0.2212 0.2212 0.0000 (multiplicity 4)  2 Fe 2.97, 5 Ge 3.05-3.31
Fe 0.1519 0.8481 0.7500 (multiplicity 4)  3 Ge 2.30-2.33
Ge 0.1036 0.1036 0.5000 (multiplicity 4)  3 Fe 2.30-2.33

## Properties
**ΔH_f (0 K)**: -0.06 eV/atom

---

Entry 3:
An optimized crystal structure of FeBAsC, computed with PBE.

Unit cell a=3.4459 b=3.6275 c=4.0040 alpha=69.06 beta=66.25 gamma=73.29
Closest atoms and distances in Å follow each position.
Space group P1 (No. 1)
Asymmetric unit:
Fe 0.0000 0.0000 0.0000 (multiplicity 1)  2 C 2.04-2.07, 1 B 2.13
B 0.2949 0.0755 0.4034 (multiplicity 1)  1 C 1.47
As 0.7390 0.7116 0.6925 (multiplicity 1)  1 C 2.03, 1 B 2.14
C 0.2593 0.3995 0.0639 (multiplicity 1)  1 B 1.47

## Properties
**ΔH_f (0 K)**: 0.63 eV/atom
**Energy relative to the lowest polymorph listed for this composition**: 502.4 meV/atom

---

Entry 4:
An optimized crystal structure of EuLuTlGe, computed with PBE.

Unit cell a=7.4632 b=7.4632 c=7.4632 alpha=90.00 beta=90.00 gamma=90.00
Closest atoms and distances in Å follow each position.
Space group F-43m (No. 216)
Asymmetric unit:
Eu 0.0000 0.0000 0.0000 (multiplicity 4)  4 Ge 3.23, 4 Tl 3.23
Lu 0.0000 0.0000 0.5000 (multiplicity 4)  4 Ge 3.23, 4 Tl 3.23
Tl 0.2500 0.2500 0.7500 (multiplicity 4)  4 Eu 3.23, 4 Lu 3.23
Ge 0.2500 0.2500 0.2500 (multiplicity 4)  4 Eu 3.23, 4 Lu 3.23

## Properties
**ΔH_f (0 K)**: -0.39 eV/atom

---

Entry 5:
An optimized crystal structure of BaFeIN2, computed with PBE.

Unit cell a=5.1402 b=5.1402 c=7.0781 alpha=90.00 beta=90.00 gamma=90.00
Closest atoms and distances in Å follow each position.
Space group P4/mmm (No. 123)
Asymmetric unit:
Ba 0.0000 0.0000 0.0000 (multiplicity 1)  4 N 2.57
Fe 0.5000 0.5000 0.5000 (multiplicity 1)  4 I 3.63
I 0.0000 0.0000 0.5000 (multiplicity 1)  2 Ba 3.54, 4 Fe 3.63
N 0.0000 0.5000 0.0000 (multiplicity 2)  2 Ba 2.57

## Properties
**Energy relative to the elements, uncorrected**: 8.8 eV per formula unit
**Energy relative to the lowest polymorph listed for this composition**: 1011.2 meV/atom

---

Entry 6:
An optimized crystal structure of BaSr8Tl2, computed with PBE.

Unit cell a=21.1511 b=5.6515 c=9.4795 alpha=90.00 beta=112.49 gamma=90.00
Closest atoms and distances in Å follow each position.
Space group C2/m (No. 12)
Asymmetric unit:
Ba 0.0000 0.0000 0.0000 (multiplicity 2)  8 Sr 4.12-4.35
Sr 0.0448 0.5000 0.7345 (multiplicity 4)  1 Tl 3.45
Sr 0.1058 0.0000 0.4938 (multiplicity 4)  2 Tl 3.55, 1 Sr 3.94
Sr 0.1836 0.0000 0.9436 (multiplicity 4)  3 Tl 3.40-3.80
Sr 0.1865 0.5000 0.2915 (multiplicity 4)  3 Tl 3.68-3.69, 1 Sr 4.08
Tl 0.1993 0.5000 0.6913 (multiplicity 4)  9 Sr 3.40-3.80

## Properties
**ΔH_f (0 K)**: -0.14 eV/atom

---

Entry 7:
An optimized crystal structure of Ho6Ir5Ru, computed with PBE.

Unit cell a=4.8555 b=14.5613 c=6.6990 alpha=90.00 beta=90.00 gamma=90.00
Closest atoms and distances in Å follow each position.
Space group Cmmm (No. 65)
Asymmetric unit:
Ho 0.0000 0.0000 0.2497 (multiplicity 4)  6 Ir 2.94-2.96, 2 Ru 2.95
Ho 0.0000 0.3341 0.2496 (multiplicity 8)  1 Ru 2.94, 7 Ir 2.94-2.96
Ir 0.0000 0.1660 0.0000 (multiplicity 4)  8 Ho 2.94-2.96
Ir 0.0000 0.1674 0.5000 (multiplicity 4)  8 Ho 2.95-2.96
Ir 0.0000 0.5000 0.5000 (multiplicity 2)  8 Ho 2.94-2.95
Ru 0.0000 0.5000 0.0000 (multiplicity 2)  8 Ho 2.94-2.95

## Properties
**ΔH_f (0 K)**: -0.78 eV/atom

---

Entry 8:
An optimized crystal structure of Mg6InCu, computed with PBE.

Unit cell a=4.3941 b=4.3941 c=17.4873 alpha=90.00 beta=90.00 gamma=90.00
Closest atoms and distances in Å follow each position.
Space group I4/mmm (No. 139)
Asymmetric unit:
Mg 0.0000 0.0000 0.2494 (multiplicity 4)  12 Mg 3.11-3.24
Mg 0.0000 0.5000 0.1148 (multiplicity 8)  2 In 2.98, 2 Cu 2.98, 8 Mg 3.11-3.24
In 0.0000 0.0000 0.5000 (multiplicity 2)  8 Mg 2.98, 4 Cu 3.11
Cu 0.0000 0.0000 0.0000 (multiplicity 2)  8 Mg 2.98, 4 In 3.11

## Properties
**ΔH_f (0 K)**: -0.01 eV/atom

---

Entry 9:
An optimized crystal structure of Sr2Ni, computed with PBE.

Unit cell a=10.3700 b=10.3700 c=5.8986 alpha=90.00 beta=90.00 gamma=120.00
Closest atoms and distances in Å follow each position.
Space group P6_3/mmc (No. 194)
Asymmetric unit:
Sr 0.0000 0.0000 0.0000 (multiplicity 2)  2 Sr 2.95
Sr 0.2069 0.4137 0.2500 (multiplicity 6)  2 Ni 2.88
Ni 0.3333 0.6667 0.5508 (multiplicity 4)  1 Ni 2.35

## Properties
**ΔH_f (0 K)**: 0.73 eV/atom

---

Entry 10:
An optimized crystal structure of Ge2Au2Br, computed with PBE.

Unit cell a=7.9483 b=7.9483 c=3.4087 alpha=90.00 beta=90.00 gamma=90.00
Closest atoms and distances in Å follow each position.
Space group P4/mbm (No. 127)
Asymmetric unit:
Ge 0.1923 0.3077 0.0000 (multiplicity 4)  2 Au 2.69, 2 Br 2.88
Au 0.1231 0.6231 0.5000 (multiplicity 4)  2 Ge 2.69, 1 Au 2.77
Br 0.0000 0.0000 0.0000 (multiplicity 2)  4 Ge 2.88

## Properties
**Energy relative to the elements, uncorrected**: 0.4 eV per formula unit
**Energy relative to the lowest polymorph listed for this composition**: 0.0 meV/atom

---

Entry 11:
An optimized crystal structure of CaTlBiPtN, computed with PBE.

Unit cell a=6.1227 b=3.2312 c=6.2213 alpha=90.00 beta=110.22 gamma=90.00
Closest atoms and distances in Å follow each position.
Space group Pm (No. 6)
Asymmetric unit:
Ca 0.0000 0.0000 0.0000 (multiplicity 1)  2 N 2.32
Tl 0.3926 0.0000 0.5823 (multiplicity 1)  2 Pt 3.07-3.12, 2 Tl 3.23
Bi 0.5503 0.5000 0.1295 (multiplicity 1)  2 Pt 2.95, 2 Bi 3.23
Pt 0.8687 0.0000 0.5045 (multiplicity 1)  2 N 2.04
N 0.9470 0.5000 0.7186 (multiplicity 1)  2 Pt 2.04

## Properties
**Energy relative to the elements, uncorrected**: -0.5 eV per formula unit
**Energy relative to the lowest polymorph listed for this composition**: 147.5 meV/atom

---

Entry 12:
An optimized crystal structure of Sc2TeAu2, computed with PBE.

Unit cell a=7.6793 b=7.6793 c=3.6935 alpha=90.00 beta=90.00 gamma=90.00
Closest atoms and distances in Å follow each position.
Space group P4/mbm (No. 127)
Asymmetric unit:
Sc 0.1643 0.3357 0.0000 (multiplicity 4)  6 Au 2.91-2.93
Te 0.0000 0.0000 0.5000 (multiplicity 2)  4 Au 3.02
Au 0.1292 0.6292 0.5000 (multiplicity 4)  1 Au 2.81, 6 Sc 2.91-2.93, 2 Te 3.02

## Properties
**Energy relative to the elements, uncorrected**: -3.5 eV per formula unit
**Energy relative to the lowest polymorph listed for this composition**: 0.0 meV/atom

---

The evaluated final energy for the records listed, in turn: -7.584; -6.007; -6.626; -5.833; -3.952; -1.964; -7.538; -2.061; -2.320; -3.412; -4.630; -5.172 eV/atom.